A plane-wave DFT calculation with PBE was carried out for crystalline LaY2Cd at its relaxed geometry.

a = 3.6452 Å, b = 3.6452 Å, c = 33.1756 Å
α = 90.00°, β = 90.00°, γ = 120.00°
Last column: nearest neighbours and their distance in Å.
Space group R3m (No. 160, hexagonal axes)
Symmetry-distinct sites (fractional):
La1 0.0000 0.0000 0.0000 (multiplicity 3)  3 Cd 3.43, 6 La 3.65, 3 Y 3.68
Y1 0.0000 0.0000 0.5107 (multiplicity 3)  3 Cd 3.24, 3 Y 3.56
Y2 0.0000 0.0000 0.7576 (multiplicity 3)  9 Y 3.56-3.65, 3 La 3.68
Cd1 0.0000 0.0000 0.2517 (multiplicity 3)  3 Y 3.24, 3 La 3.43

Summary:
- DFT total energy: -4.754 eV per atom
- D(E_F): 12.24 states/eV/cell
- Calculated volume: 31.814 A^3/atom

=====

A plane-wave DFT calculation with PBE was carried out for crystalline La14YCd at its relaxed geometry.

a = 10.4683 Å, b = 10.3702 Å, c = 10.3774 Å
α = 90.00°, β = 90.00°, γ = 90.00°
Last column: nearest neighbours and their distance in Å.
Space group Amm2 (No. 38)
Symmetry-distinct sites (fractional):
La1 0.0000 0.0000 0.0000 (multiplicity 2)  12 La 3.65-3.76
La2 0.0000 0.0000 0.4988 (multiplicity 2)  12 La 3.66-3.70
La3 0.0000 0.2487 0.2490 (multiplicity 4)  12 La 3.65-3.72
La4 0.2529 0.0000 0.7451 (multiplicity 4)  10 La 3.60-3.74, 1 Cd 3.64, 1 Y 3.69
La5 0.2545 0.2454 0.4992 (multiplicity 8)  10 La 3.60-3.75, 1 Cd 3.62, 1 Y 3.69
La6 0.2564 0.0000 0.2537 (multiplicity 4)  10 La 3.60-3.76, 1 Cd 3.60, 1 Y 3.67
La7 0.5000 0.2478 0.7482 (multiplicity 4)  8 La 3.64-3.66, 2 Cd 3.65-3.69, 2 Y 3.66-3.68
Y1 0.5000 0.0000 0.9989 (multiplicity 2)  12 La 3.66-3.69
Cd1 0.5000 0.0000 0.4990 (multiplicity 2)  12 La 3.60-3.69

Summary:
- DFT total energy: -4.802 eV per atom
- D(E_F): 41.90 states/eV/cell
- Calculated volume: 35.205 A^3/atom

=====

A plane-wave DFT calculation with PBE was carried out for crystalline LaYCd6 at its relaxed geometry.

a = 4.9532 Å, b = 7.2190 Å, c = 11.2468 Å
α = 90.00°, β = 90.00°, γ = 90.00°
Last column: nearest neighbours and their distance in Å.
Space group Amm2 (No. 38)
Symmetry-distinct sites (fractional):
La1 0.0000 0.0000 0.0000 (multiplicity 2)  12 Cd 3.28-3.63
Y1 0.5000 0.0000 0.7169 (multiplicity 2)  10 Cd 3.22-3.38
Cd1 0.0000 0.0000 0.5338 (multiplicity 2)  8 Cd 3.06-3.39, 2 Y 3.22
Cd2 0.0000 0.2175 0.2667 (multiplicity 4)  7 Cd 3.05-3.39, 2 Y 3.26, 2 La 3.32-3.39
Cd3 0.5000 0.0000 0.1927 (multiplicity 2)  6 Cd 3.05-3.27, 2 La 3.29
Cd4 0.5000 0.2125 0.4495 (multiplicity 4)  6 Cd 3.06-3.27, 2 La 3.28, 2 Y 3.34-3.38

Summary:
- DFT total energy: -2.407 eV per atom
- D(E_F): 8.60 states/eV/cell
- Calculated volume: 25.134 A^3/atom